KBa3Ni: PBEsol geometry, meta-GGA SCAN.

```
KBa3Ni
1.0
6.213 0.000 0.000
0.000 6.213 0.000
0.000 0.000 6.213
K Ba Ni
1 3 1
Direct
0.000 0.000 0.000 K
0.000 0.500 0.500 Ba
0.500 0.000 0.500 Ba
0.500 0.500 0.000 Ba
0.500 0.500 0.500 Ni
```

Values from the calculation:
The symmetry is Pm-3m (221). The total magnetization is 0.024 μB/f.u. The calculation puts the formation energy at 0.498 eV per formula unit.